1.
The following is a PBE calculation of a relaxed structure of BeFe2Cu, from Alexandria via LeMat-Bulk. Values from VASP.

Properties
- ΔH_f (0 K): 25 kJ/mol of formula units
- SG: No. 119

The structure in Quantum ESPRESSO input format:
```
&SYSTEM
  ibrav = 0, nat = 4, ntyp = 3
/
ATOMIC_SPECIES
Be 9.01 Be.upf
Fe 55.84 Fe.upf
Cu 63.55 Cu.upf
CELL_PARAMETERS angstrom
4.253 -0.027 0.000
1.326 4.042 0.000
-2.790 -2.007 2.506
ATOMIC_POSITIONS crystal
Be 0.500 0.500 0.000
Fe 0.250 0.750 0.500
Fe 0.000 0.000 0.000
Cu 0.750 0.250 0.500
```

=====

2.
The following is a PBE calculation of a relaxed structure of BeFe2Cu, from Alexandria via LeMat-Bulk. Values from VASP.

Properties
- ΔH_f (0 K): 27 kJ/mol of formula units
- SG: No. 44

The structure in Quantum ESPRESSO input format:
```
&SYSTEM
  ibrav = 0, nat = 4, ntyp = 3
/
ATOMIC_SPECIES
Be 9.01 Be.upf
Fe 55.84 Fe.upf
Cu 63.55 Cu.upf
CELL_PARAMETERS angstrom
-0.407 4.037 2.042
-4.113 0.864 1.725
3.547 -2.834 0.159
ATOMIC_POSITIONS crystal
Be 0.497 0.497 0.000
Fe 0.738 0.238 0.500
Fe 0.996 0.996 0.000
Cu 0.268 0.768 0.500
```